No. 1
First-principles (PBE) data for a geometry-optimized Nd2ZnHRh6 structure, as listed in the Alexandria database.

The calculation puts the density of states at the Fermi level at 10.4 states/eV per cell. As for the space group: No. 139. Its total energy is -6.162 eV/atom. The value obtained for the total magnetization is 0.00 Bohr magnetons per cell.

Cell lengths 6.1651, 6.1651, 6.1651 Å; angles 119.96, 119.96, 90.07 degrees
With the nearest neighbours (Å) after each atom.
Fractional positions:
Nd  0.2500  0.7500  0.5000  12 Rh 3.09
Nd  0.7500  0.2500  0.5000  12 Rh 3.09
Zn  0.0000  0.0000  0.0000  6 Rh 2.41-2.42
H  0.5000  0.5000  0.0000  6 Rh 1.94-1.95
Rh  0.2771  0.2771  0.0000  1 H 1.94
Rh  0.2769  0.2769  0.5538  1 H 1.95
Rh  0.2769  0.7231  0.0000  1 H 1.95
Rh  0.7231  0.2769  0.0000  1 H 1.95
Rh  0.7229  0.7229  0.0000  1 H 1.94
Rh  0.7231  0.7231  0.4462  1 H 1.95

=====

No. 2
First-principles (PBE) data for a geometry-optimized NdH4Ru structure, as listed in the Alexandria database.

The calculation puts the density of states at the Fermi level at 0.5 states/eV per cell. As for the space group: No. 15. Its total energy is -4.927 eV/atom. The value obtained for the total magnetization is 0.00 Bohr magnetons per cell.

Cell lengths 5.4040, 5.4040, 5.6043 Å; angles 98.31, 98.31, 123.21 degrees
With the nearest neighbours (Å) after each atom.
Fractional positions:
Nd  0.1396  0.8604  0.7500  6 H 2.29-2.52
Nd  0.8604  0.1396  0.2500  6 H 2.29-2.52
H  0.0816  0.2320  0.6673  1 Ru 1.70
H  0.2320  0.0816  0.1673  1 Ru 1.70
H  0.3707  0.6146  0.0350  1 Ru 1.75
H  0.3854  0.6293  0.4650  1 Ru 1.75
H  0.6146  0.3707  0.5350  1 Ru 1.75
H  0.6293  0.3854  0.9650  1 Ru 1.75
H  0.7680  0.9184  0.8327  1 Ru 1.70
H  0.9184  0.7680  0.3327  1 Ru 1.70
Ru  0.4505  0.5495  0.7500  4 H 1.70-1.75
Ru  0.5495  0.4505  0.2500  4 H 1.70-1.75